First-principles (GGA-PBE) data for KPaHgCl6 after structural relaxation, as listed in Alexandria via LeMat-Bulk.

POSCAR file:
```
KPaHgCl6
1.0
7.895 0.000 0.000
-3.947 6.837 0.000
0.000 0.000 15.557
K Pa Cl Hg
2 2 12 2
Direct
0.333 0.667 0.250 K
0.667 0.333 0.750 K
0.333 0.667 0.750 Pa
0.667 0.333 0.250 Pa
0.594 0.938 0.845 Cl
0.343 0.938 0.655 Cl
0.938 0.343 0.155 Cl
0.406 0.343 0.345 Cl
0.657 0.594 0.155 Cl
0.062 0.657 0.845 Cl
0.594 0.657 0.655 Cl
0.406 0.062 0.155 Cl
0.938 0.594 0.345 Cl
0.343 0.406 0.845 Cl
0.062 0.406 0.655 Cl
0.657 0.062 0.345 Cl
0.000 0.000 0.000 Hg
0.000 0.000 0.500 Hg
```

volume	46.6	A^3/atom
density	2703	kg/m3
ΔE_f (raw)	-1.6992	eV per atom